[1]
Computed, not measured: crystalline RbCa2Se2 at its relaxed geometry at the PBE level of DFT.

abc: 5.5505 5.5505 12.0156
angles: 90.00 90.00 90.00
Space group I4/mmm (No. 139)
Asymmetric unit:
Rb1 0.0000 0.0000 0.0000 (multiplicity 2)
Ca1 0.0000 0.0000 0.3193 (multiplicity 4)
Se1 0.0000 0.5000 0.2500 (multiplicity 4)

Summary:
ΔE_f (raw): -1.353 eV/atom
relative energy among the computed polymorphs: 0.000 eV per atom



[2]
Computed, not measured: crystalline Ba2NaSrCd at its relaxed geometry at the PBE level of DFT.

abc: 6.7925 6.7925 5.9052
angles: 90.00 90.00 90.00
Space group P4/mmm (No. 123)
Asymmetric unit:
Ba1 0.0000 0.5000 0.0000 (multiplicity 2)
Na1 0.0000 0.0000 0.5000 (multiplicity 1)
Sr1 0.5000 0.5000 0.5000 (multiplicity 1)
Cd1 0.0000 0.0000 0.0000 (multiplicity 1)

Summary:
calculated formation energy: 0.029 eV per atom
relative energy among the computed polymorphs: 0.032 eV per atom



[3]
Computed, not measured: crystalline LuPuInPb at its relaxed geometry at the PBE level of DFT.

abc: 7.5723 7.5723 7.5723
angles: 90.00 90.00 90.00
Space group F-43m (No. 216)
Asymmetric unit:
Lu1 0.0000 0.0000 0.0000 (multiplicity 4)
Pu1 0.0000 0.0000 0.5000 (multiplicity 4)
In1 0.2500 0.2500 0.2500 (multiplicity 4)
Pb1 0.2500 0.2500 0.7500 (multiplicity 4)

Summary:
calculated formation energy: -0.211 eV per atom



[4]
Computed, not measured: crystalline TlHgH at its relaxed geometry at the PBE level of DFT.

abc: 6.3491 3.8773 11.7841
angles: 90.00 91.13 90.00
Space group C2/m (No. 12)
Asymmetric unit:
Tl1 0.1735 0.0000 0.1366 (multiplicity 4)
Hg1 0.1783 0.0000 0.6132 (multiplicity 4)
H1 0.1696 0.0000 0.9353 (multiplicity 4)

Summary:
relative energy among the computed polymorphs: 0.209 eV per atom



[5]
Computed, not measured: crystalline Na3Cd4Pb2 at its relaxed geometry at the PBE level of DFT.

abc: 11.4089 5.1769 9.5416
angles: 90.00 120.87 90.00
Space group C2/m (No. 12)
Asymmetric unit:
Na1 0.0000 0.0000 0.0000 (multiplicity 2)
Na2 0.1640 0.5000 0.6695 (multiplicity 4)
Cd1 0.0655 0.0000 0.4046 (multiplicity 4)
Cd2 0.2143 0.5000 0.0392 (multiplicity 4)
Pb1 0.1122 0.5000 0.2761 (multiplicity 4)

Summary:
calculated formation energy: -0.108 eV per atom
relative energy among the computed polymorphs: 0.000 eV per atom



[6]
Computed, not measured: crystalline AcAgGePd6 at its relaxed geometry at the PBE level of DFT.

abc: 6.5616 9.5934 11.5132
angles: 90.00 90.00 90.00
Space group Imma (No. 74)
Asymmetric unit:
Ac1 0.0000 0.2500 0.1801 (multiplicity 4)
Ag1 0.2500 0.2500 0.7500 (multiplicity 4)
Ge1 0.0000 0.0000 0.5000 (multiplicity 4)
Pd1 0.0000 0.2500 0.4391 (multiplicity 4)
Pd2 0.0000 0.2500 0.9392 (multiplicity 4)
Pd3 0.2136 0.0068 0.8720 (multiplicity 16)

Summary:
calculated formation energy: -0.205 eV per atom



[7]
Computed, not measured: crystalline Li2TaAg at its relaxed geometry at the PBE level of DFT.

abc: 6.2115 6.2115 6.2115
angles: 90.00 90.00 90.00
Space group Fm-3m (No. 225)
Asymmetric unit:
Li1 0.2500 0.2500 0.2500 (multiplicity 8)
Ta1 0.0000 0.0000 0.0000 (multiplicity 4)
Ag1 0.0000 0.0000 0.5000 (multiplicity 4)

Summary:
calculated formation energy: 0.617 eV per atom
relative energy among the computed polymorphs: 0.474 eV per atom



[8]
Computed, not measured: crystalline Sb8Pd2Pt at its relaxed geometry at the PBE level of DFT.

abc: 5.6025 6.8343 7.9409
angles: 74.65 87.23 78.18
Space group P-1 (No. 2)
Asymmetric unit:
Sb1 0.1515 0.3640 0.3924 (multiplicity 2)
Sb2 0.2054 0.8267 0.7431 (multiplicity 2)
Sb3 0.2415 0.2871 0.9446 (multiplicity 2)
Sb4 0.2752 0.9125 0.2421 (multiplicity 2)
Pd1 0.2748 0.6041 0.0801 (multiplicity 2)
Pt1 0.5000 0.0000 0.5000 (multiplicity 1)

Summary:
ΔE_f (raw): -0.196 eV/atom



In the order shown, the computed theoretical density values come out to 2.90, 3.03, 11.34, 9.30, 6.41, 9.59, 8.39, 8.00 Mg/m³.